This record from Alexandria describes a relaxed KI3O9 crystal. The functional is GGA-PBE.

Formation energy from raw total energies (meV per atom): -412

The structure in POSCAR format:
```
KI3O9
1.0
-5.8929 4.5508 -0.4308
-4.1322 0.5733 -9.4748
-7.1240 -2.4690 -1.0668
K I O
2 6 18
Cartesian
-4.3002 0.7426 -4.0295
-12.8490 1.9125 -6.9429
-6.0593 0.7709 -7.8262
-11.0899 1.8842 -3.1461
-7.5083 3.0178 -2.4920
-9.6408 -0.3626 -8.4804
-8.9678 3.0387 -8.3957
-8.1814 -0.3836 -2.5767
-6.0940 0.1577 -6.1447
-11.0552 2.4974 -4.8276
-7.5060 -0.3491 -8.4234
-9.6431 3.0042 -2.5489
-7.5304 4.4653 -3.6051
-9.6187 -1.8102 -7.3673
-7.2276 1.7052 -3.7370
-9.9215 0.9499 -7.2353
-7.2179 2.3230 -7.5579
-9.9312 0.3321 -3.4144
-10.8328 3.9168 -8.9868
-6.3163 -1.2616 -1.9855
-9.1564 1.8480 -9.7274
-7.9927 0.8071 -1.2450
-5.3711 3.0868 -2.3911
-11.7780 -0.4317 -8.5813
-15.1607 1.8887 -10.4998
-1.9885 0.7664 -0.4726
```